# 1
{
  "formula": "BePt",
  "functional": "meta-GGA SCAN",
  "state": "single point on PBEsol structure",
  "lattice_angstrom": [[4.015, -0.045, -0.033], [1.755, 3.612, -0.033], [1.755, 1.085, 3.445]],
  "species": ["Be", "Be", "Pt", "Pt"],
  "fractional_positions": [[0.883, 0.883, 0.883], [0.117, 0.117, 0.117], [0.358, 0.358, 0.358], [0.642, 0.642, 0.642]],
  "energy_ev_per_cell": -150.14,
  "space_group": "R-3m"
}

# 2
{
  "formula": "SmDyIr2",
  "functional": "meta-GGA SCAN",
  "state": "single point on PBEsol structure",
  "lattice_angstrom": [[-2.225, 3.686, -2.186], [-4.465, 1.260, 1.336], [-0.731, 4.135, 2.383]],
  "species": ["Sm", "Ir", "Ir", "Dy"],
  "fractional_positions": [[0.000, 0.000, 0.000], [0.250, 0.250, 0.250], [0.750, 0.750, 0.750], [0.500, 0.500, 0.500]],
  "energy_ev_per_cell": -237.96,
  "space_group": "Fm-3m"
}

# 3
{
  "formula": "SrRuCl2",
  "functional": "meta-GGA SCAN",
  "state": "single point on PBEsol structure",
  "lattice_angstrom": [[3.366, 0.000, 0.000], [0.000, 3.366, 0.000], [0.000, 0.000, 7.494]],
  "species": ["Sr", "Cl", "Ru", "Cl"],
  "fractional_positions": [[0.500, 0.500, 0.748], [0.000, 0.000, 0.967], [0.000, 0.000, 0.431], [0.500, 0.500, 0.353]],
  "raw_formation_energy_mev_per_atom": -702,
  "energy_ev_per_cell": -75.86,
  "space_group": "P4mm",
  "de_polymorph_mev_per_atom": 160
}

# 4
{
  "formula": "CsNb2RuS",
  "functional": "meta-GGA SCAN",
  "state": "single point on PBEsol structure",
  "lattice_angstrom": [[4.690, 0.000, 0.000], [0.000, 5.040, 0.000], [0.000, 0.000, 5.040]],
  "species": ["Ru", "S", "Nb", "Cs", "Nb"],
  "fractional_positions": [[0.500, 0.000, 0.000], [0.500, 0.500, 0.500], [0.000, 0.000, 0.500], [0.000, 0.000, 0.000], [0.000, 0.500, 0.000]],
  "raw_formation_energy_mev_per_atom": 3017,
  "energy_ev_per_cell": -133.44,
  "space_group": "P4/mmm"
}

Copy entry 1 word for word.
{
  "formula": "BePt",
  "functional": "meta-GGA SCAN",
  "state": "single point on PBEsol structure",
  "lattice_angstrom": [[4.015, -0.045, -0.033], [1.755, 3.612, -0.033], [1.755, 1.085, 3.445]],
  "species": ["Be", "Be", "Pt", "Pt"],
  "fractional_positions": [[0.883, 0.883, 0.883], [0.117, 0.117, 0.117], [0.358, 0.358, 0.358], [0.642, 0.642, 0.642]],
  "energy_ev_per_cell": -150.14,
  "space_group": "R-3m"
}